Li3TcF, relaxed, DFT PBE; E = -3.97 eV/atom; space group = Pm-3m, No. 221; formation energy from raw total energies = -0.376 eV/atom; N(E_F) = 2.3 states/eV/cell; theoretical density = 3.37 g cm⁻³; magnetic moment = 3.00 μB per cell; energy above the lowest structure with this stoichiometry = 0 meV/atom
1.0
4.080 0.000 0.000
0.000 4.080 0.000
0.000 0.000 4.080
Li Tc F
3 1 1
direct
0.000 0.000 0.500
0.000 0.500 0.000
0.500 0.000 0.000
0.500 0.500 0.500
0.000 0.000 0.000

---

ReMo2Pb, relaxed, DFT PBE; E = -8.83 eV/atom; space group = Immm, No. 71; N(E_F) = 4.9 states/eV/cell; theoretical density = 14.14 g cm⁻³; magnetic moment = 0.00 μB per cell; formation energy from the elements = 0.627 eV/atom
1.0
3.335 0.000 0.000
0.000 4.470 0.000
0.000 0.000 9.223
Re Mo Pb
2 4 2
direct
0.000 0.000 0.000
0.500 0.500 0.500
0.000 0.500 0.258
0.000 0.500 0.742
0.500 0.000 0.242
0.500 0.000 0.758
0.000 0.000 0.500
0.500 0.500 0.000

---

MgCdAs2, relaxed, DFT PBE; E = -2.93 eV/atom; space group = R-3m, No. 166; N(E_F) = 3.8 states/eV/cell; theoretical density = 5.67 g cm⁻³; magnetic moment = 0.00 μB per cell; formation energy from the elements = 0.026 eV/atom; energy above the lowest structure with this stoichiometry = 148 meV/atom
1.0
3.121 0.000 0.000
-1.560 2.703 0.000
0.000 0.000 29.839
Mg Cd As
3 3 6
direct
0.000 0.000 0.000
0.333 0.667 0.667
0.667 0.333 0.333
0.000 0.000 0.500
0.333 0.667 0.167
0.667 0.333 0.833
0.000 0.000 0.262
0.000 0.000 0.738
0.333 0.667 0.405
0.333 0.667 0.928
0.667 0.333 0.072
0.667 0.333 0.595

---

BaCd6Ag, relaxed, DFT PBE; E = -1.44 eV/atom; space group = P4/mmm, No. 123; N(E_F) = 4.7 states/eV/cell; theoretical density = 7.03 g cm⁻³; magnetic moment = 0.00 μB per cell; formation energy from the elements = -0.155 eV/atom; energy above the lowest structure with this stoichiometry = 0 meV/atom
1.0
4.758 0.000 0.000
0.000 4.758 0.000
0.000 0.000 9.589
Ba Cd Ag
1 6 1
direct
0.000 0.000 0.000
0.000 0.500 0.334
0.000 0.500 0.666
0.500 0.000 0.334
0.500 0.000 0.666
0.500 0.500 0.149
0.500 0.500 0.851
0.000 0.000 0.500

---

La4AgGe, relaxed, DFT PBE; E = -4.76 eV/atom; space group = P2_1/c, No. 14; N(E_F) = 17.6 states/eV/cell; theoretical density = 5.83 g cm⁻³; magnetic moment = 0.00 μB per cell; formation energy from the elements = -0.228 eV/atom; energy above the lowest structure with this stoichiometry = 102 meV/atom
1.0
7.474 0.000 0.000
0.000 7.395 0.000
-0.123 0.000 7.589
La Ag Ge
8 2 2
direct
0.152 0.164 0.171
0.152 0.336 0.671
0.342 0.652 0.149
0.342 0.848 0.649
0.658 0.152 0.351
0.658 0.348 0.851
0.848 0.664 0.329
0.848 0.836 0.829
0.500 0.000 0.000
0.500 0.500 0.500
0.000 0.000 0.500
0.000 0.500 0.000

---

NaLiCr2Pb, relaxed, DFT PBE; E = -3.94 eV/atom; space group = P4/mmm, No. 123; N(E_F) = 2.7 states/eV/cell; theoretical density = 3.31 g cm⁻³; magnetic moment = 9.69 μB per cell; formation energy from the elements = 1.302 eV/atom
1.0
5.512 0.000 0.000
0.000 5.512 0.000
0.000 0.000 5.625
Na Li Cr Pb
1 1 2 1
direct
0.000 0.000 0.000
0.500 0.500 0.500
0.000 0.500 0.000
0.500 0.000 0.000
0.000 0.000 0.500

---

K2Ag3Cl5, relaxed, DFT PBE; E = -3.04 eV/atom; space group = C2/m, No. 12; formation energy from raw total energies = -1.041 eV/atom; N(E_F) = 0.0 states/eV/cell; theoretical density = 3.65 g cm⁻³; magnetic moment = 0.00 μB per cell; energy above the lowest structure with this stoichiometry = 0 meV/atom
1.0
7.151 -2.114 0.000
7.151 2.114 0.000
-5.662 0.000 8.725
K Ag Cl
2 3 5
direct
0.170 0.170 0.262
0.830 0.830 0.738
0.000 0.000 0.500
0.394 0.394 0.139
0.606 0.606 0.861
0.189 0.189 0.809
0.406 0.406 0.577
0.500 0.500 0.000
0.594 0.594 0.423
0.811 0.811 0.191

---

NdTlSi2O6, relaxed, DFT PBE; E = -7.41 eV/atom; space group = C2/c, No. 15; formation energy from raw total energies = -2.640 eV/atom; N(E_F) = 0.0 states/eV/cell; theoretical density = 5.62 g cm⁻³; magnetic moment = 0.00 μB per cell
1.0
5.288 -5.215 0.000
5.288 5.215 0.000
-1.005 0.000 5.364
Nd Tl Si O
2 2 4 12
direct
0.124 0.876 0.750
0.876 0.124 0.250
0.328 0.672 0.250
0.672 0.328 0.750
0.200 0.358 0.708
0.358 0.200 0.208
0.642 0.800 0.792
0.800 0.642 0.292
0.056 0.189 0.647
0.128 0.564 0.755
0.189 0.056 0.147
0.324 0.341 0.468
0.341 0.324 0.968
0.436 0.872 0.745
0.564 0.128 0.255
0.659 0.676 0.032
0.676 0.659 0.532
0.811 0.944 0.853
0.872 0.436 0.245
0.944 0.811 0.353